Below is a relaxed CdGaFeNi crystal, with properties calculated at the PBE level.

```
4
Lattice="0.000 3.056 3.056 3.056 0.000 3.056 3.056 3.056 0.000" Properties=species:S:1:pos:R:3 pbc="T T T"
Cd 3.056 3.056 3.056
Fe 4.584 4.584 4.584
Ga 0.000 0.000 0.000
Ni 1.528 1.528 1.528
```

Output
ΔE to the lowest computed polymorph in meV/atom: 0.0
Crystal system: cubic
Magnetization in μB/f.u.: 2.3
Space group: F-43m
Total energy in eV per cell: -17.43